Below is RbP2PtC after structural relaxation, with properties calculated at the GGA-PBE level.

## Properties
**DFT formation energy**: 976 meV/atom
**DOS at the Fermi energy**: 4.3 states/eV per cell
**Total DFT energy (no corrections)**: -22.2 eV per cell
**Symmetry**: P4/mmm

Cell lengths 5.326, 3.828, 5.326 Å; angles 90.00, 90.00, 90.00 degrees
Last column: magnetic moment on the atom in μB.
Element x y z (fractional)
C: 0.000 0.500 0.000  0.06
P: 0.000 0.000 0.500  0.18
P: 0.500 0.000 0.000  0.28
Rb: 0.500 0.500 0.500  0.03
Pt: 0.000 0.000 0.000  0.09

---

Below is VP2PtC after structural relaxation, with properties calculated at the GGA-PBE level.

## Properties
**DFT formation energy**: 1288 meV/atom
**DOS at the Fermi energy**: 6.0 states/eV per cell
**Total DFT energy (no corrections)**: -28.8 eV per cell
**Symmetry**: P4/mmm

Cell lengths 4.853, 3.722, 4.853 Å; angles 90.00, 90.00, 90.00 degrees
Last column: magnetic moment on the atom in μB.
Element x y z (fractional)
P: 0.500 0.000 0.000  -0.04
P: 0.000 0.000 0.500  -0.05
Pt: 0.000 0.000 0.000  -0.03
V: 0.500 0.500 0.500  0.29
C: 0.000 0.500 0.000  0.01

---

Below is Pu2PC after structural relaxation, with properties calculated at the GGA-PBE level.

## Properties
**DFT formation energy**: -406 meV/atom
**DOS at the Fermi energy**: 24.3 states/eV per cell
**Total DFT energy (no corrections)**: -89.8 eV per cell
**Symmetry**: Cmcm

Cell lengths 4.037, 5.656, 6.812 Å; angles 90.00, 107.24, 90.00 degrees
Last column: magnetic moment on the atom in μB.
Element x y z (fractional)
C: 0.860 0.750 0.720  -0.26
C: 0.140 0.250 0.280  -0.26
P: 0.386 0.250 0.772  -0.17
P: 0.614 0.750 0.228  -0.17
Pu: 0.277 0.750 0.553  4.68
Pu: 0.000 0.500 0.000  4.61
Pu: 0.723 0.250 0.447  4.68
Pu: 0.000 0.000 0.000  4.61

---

Below is Pu2PC after structural relaxation, with properties calculated at the GGA-PBE level.

## Properties
**DFT formation energy**: -466 meV/atom
**DOS at the Fermi energy**: 13.7 states/eV per cell
**Total DFT energy (no corrections)**: -45.2 eV per cell
**Symmetry**: R-3m

Cell lengths 3.736, 3.736, 6.596 Å; angles 73.55, 73.55, 60.00 degrees
Last column: magnetic moment on the atom in μB.
Element x y z (fractional)
P: 0.500 0.500 0.500  -0.19
C: 0.000 0.000 0.000  -0.28
Pu: 0.262 0.262 0.214  4.61
Pu: 0.738 0.738 0.786  4.61

---

Below is PuPC after structural relaxation, with properties calculated at the GGA-PBE level.

## Properties
**DFT formation energy**: 161 meV/atom
**DOS at the Fermi energy**: 6.1 states/eV per cell
**Total DFT energy (no corrections)**: -57.0 eV per cell
**Symmetry**: P-1

Cell lengths 4.078, 5.299, 6.930 Å; angles 77.61, 85.59, 39.69 degrees
Element x y z (fractional)
P: 0.775 0.130 0.741
P: 0.225 0.870 0.259
C: 0.496 0.951 0.097
C: 0.504 0.049 0.903
Pu: 0.711 0.694 0.613
Pu: 0.289 0.306 0.387

---

Below is Pu2P2Ru2C after structural relaxation, with properties calculated at the GGA-PBE level.

## Properties
**DFT formation energy**: -692 meV/atom
**DOS at the Fermi energy**: 16.7 states/eV per cell
**Total DFT energy (no corrections)**: -72.1 eV per cell
**Symmetry**: C2/m

Cell lengths 3.938, 5.826, 6.082 Å; angles 66.52, 71.11, 70.25 degrees
Last column: magnetic moment on the atom in μB.
Element x y z (fractional)
Pu: 0.444 0.803 0.308  5.14
Pu: 0.556 0.197 0.692  5.14
C: 0.000 0.000 0.000  -0.02
Ru: 0.803 0.309 0.086  0.06
Ru: 0.197 0.691 0.914  0.06
P: 0.817 0.658 0.708  -0.04
P: 0.183 0.342 0.292  -0.04

---

Below is RbPC3 after structural relaxation, with properties calculated at the GGA-PBE level.

## Properties
**DFT formation energy**: 4557 meV/atom
**DOS at the Fermi energy**: 5.1 states/eV per cell
**Total DFT energy (no corrections)**: -11.3 eV per cell
**Symmetry**: Pm-3m

Cell lengths 5.246, 5.246, 5.246 Å; angles 90.00, 90.00, 90.00 degrees
Last column: magnetic moment on the atom in μB.
Element x y z (fractional)
C: 0.500 0.000 0.000  1.08
C: 0.000 0.500 0.000  0.99
C: 0.000 0.000 0.500  0.85
P: 0.500 0.500 0.500  -0.94
Rb: 0.000 0.000 0.000  0.14

---

Below is Rb3PC after structural relaxation, with properties calculated at the GGA-PBE level.

## Properties
**DFT formation energy**: 1010 meV/atom
**DOS at the Fermi energy**: 4.9 states/eV per cell
**Total DFT energy (no corrections)**: -12.5 eV per cell
**Symmetry**: Pm-3m

Cell lengths 5.882, 5.882, 5.882 Å; angles 90.00, 90.00, 90.00 degrees
Last column: magnetic moment on the atom in μB.
Element x y z (fractional)
Rb: 0.000 0.000 0.500  0.04
Rb: 0.500 0.000 0.000  0.04
Rb: 0.000 0.500 0.000  0.04
P: 0.500 0.500 0.500  0.48
C: 0.000 0.000 0.000  1.14

---

What did the first record say?
Below is RbP2PtC after structural relaxation, with properties calculated at the GGA-PBE level.

## Properties
**DFT formation energy**: 976 meV/atom
**DOS at the Fermi energy**: 4.3 states/eV per cell
**Total DFT energy (no corrections)**: -22.2 eV per cell
**Symmetry**: P4/mmm

Cell lengths 5.326, 3.828, 5.326 Å; angles 90.00, 90.00, 90.00 degrees
Last column: magnetic moment on the atom in μB.
Element x y z (fractional)
C: 0.000 0.500 0.000  0.06
P: 0.000 0.000 0.500  0.18
P: 0.500 0.000 0.000  0.28
Rb: 0.500 0.500 0.500  0.03
Pt: 0.000 0.000 0.000  0.09

---

Question: What is the DOS at the Fermi energy in the seventh record?
Answer: 5.1 states/eV per cell